# 1
SmPdN: relaxed, PBE. Values from VASP.

Computed properties:
Total energy (eV per atom): -6.740
Total magnetic moment (μB per atom): 0.000
Raw formation energy (eV per atom): -0.66
Density of states at the Fermi level (states/eV/f.u.): 1.1

The structure in Quantum ESPRESSO input format:
```
&SYSTEM
  ibrav = 0, nat = 6, ntyp = 3
/
ATOMIC_SPECIES
N 14.01 N.upf
Pd 106.42 Pd.upf
Sm 150.36 Sm.upf
CELL_PARAMETERS angstrom
3.951 0.000 0.000
-1.975 3.963 -0.057
0.000 -2.264 6.849
ATOMIC_POSITIONS crystal
N 0.408 0.816 0.970
N 0.592 0.184 0.030
Pd 0.342 0.684 0.495
Pd 0.658 0.316 0.505
Sm 0.902 0.803 0.187
Sm 0.098 0.197 0.813
```

# 2
Sm6Pd2N: relaxed, PBE. Values from VASP.

Computed properties:
Total energy (eV per atom): -5.920
Total magnetic moment (μB per atom): 0.000
Raw formation energy (eV per atom): -0.70
Density of states at the Fermi level (states/eV/f.u.): 8.6

The structure in Quantum ESPRESSO input format:
```
&SYSTEM
  ibrav = 0, nat = 18, ntyp = 3
/
ATOMIC_SPECIES
Sm 150.36 Sm.upf
Pd 106.42 Pd.upf
N 14.01 N.upf
CELL_PARAMETERS angstrom
-1.408 6.144 -1.910
-0.791 -2.287 -6.775
-9.644 -1.525 1.641
ATOMIC_POSITIONS crystal
Sm 0.672 0.194 0.057
Sm 0.689 0.175 0.443
Sm 0.379 0.531 0.238
Sm 0.172 0.306 0.557
Sm 0.621 0.469 0.762
Sm 0.311 0.825 0.557
Sm 0.328 0.806 0.943
Sm 0.189 0.325 0.943
Sm 0.879 0.969 0.738
Sm 0.828 0.694 0.443
Sm 0.121 0.031 0.262
Sm 0.811 0.675 0.057
Pd 0.449 0.097 0.749
Pd 0.949 0.403 0.249
Pd 0.551 0.903 0.251
Pd 0.051 0.597 0.751
N 0.500 0.500 0.000
N 0.000 0.000 0.500
```